# 1
## Na2YPd (PBE)

Data for an optimized crystal structure of Na2YPd.

a = 5.0919 Å, b = 5.0919 Å, c = 5.0919 Å
α = 60.00°, β = 60.00°, γ = 60.00°
Closest atoms and distances in Å follow each position.
Positions (direct):
1 Y 0.0000 0.0000 0.0000  8 Na 3.12
2 Na 0.2500 0.2500 0.2500  4 Pd 3.12, 4 Y 3.12
3 Na 0.7500 0.7500 0.7500  4 Pd 3.12, 4 Y 3.12
4 Pd 0.5000 0.5000 0.5000  8 Na 3.12

Output
Total magnetization = 0.00 μB/atom
Relative energy among the computed polymorphs = 0.297 eV/atom
Symmetry = Fm-3m (225)
Energy relative to the elements = 226 meV per atom
DFT total energy = -13.39 eV per cell

***

# 2
## PrNd4Dy2Sc (PBE)

Data for an optimized crystal structure of PrNd4Dy2Sc.

a = 5.1083 Å, b = 11.3433 Å, c = 5.0843 Å
α = 63.36°, β = 90.00°, γ = 90.00°
Closest atoms and distances in Å follow each position.
Positions (direct):
1 Pr 0.5000 0.5000 0.0000  8 Nd 3.58-3.59, 4 Sc 3.60
2 Nd 0.0000 0.7481 0.7512  2 Sc 3.57-3.58, 2 Pr 3.59, 4 Dy 3.60-3.61, 4 Nd 3.60
3 Nd 0.0000 0.2519 0.2488  2 Sc 3.57-3.58, 2 Pr 3.59, 4 Dy 3.60-3.61, 4 Nd 3.60
4 Nd 0.5000 0.7486 0.2505  2 Pr 3.58, 2 Sc 3.59, 4 Dy 3.60-3.61, 4 Nd 3.60
5 Nd 0.5000 0.2514 0.7495  2 Pr 3.58, 2 Sc 3.59, 4 Dy 3.60-3.61, 4 Nd 3.60
6 Dy 0.0000 0.0000 0.0000  8 Nd 3.60-3.61, 4 Dy 3.60
7 Dy 0.5000 0.0000 0.5000  8 Nd 3.60-3.61, 4 Dy 3.60
8 Sc 0.0000 0.5000 0.5000  8 Nd 3.57-3.59, 4 Pr 3.60

Output
Total magnetization = 0.00 μB/atom
Symmetry = Pmmm (47)
Energy relative to the elements = 25 meV per atom
DFT total energy = -39.19 eV per cell

***

# 3
## Si2OsCl (PBE)

Data for an optimized crystal structure of Si2OsCl.

a = 4.0240 Å, b = 4.2446 Å, c = 4.2522 Å
α = 69.91°, β = 90.00°, γ = 90.00°
Closest atoms and distances in Å follow each position.
Positions (direct):
1 Cl 0.0000 0.5790 0.5510  1 Si 2.29, 2 Os 2.56
2 Os 0.5000 0.7977 0.7870  4 Si 2.36-2.62, 2 Cl 2.56
3 Si 0.0000 0.9316 0.0043  1 Cl 2.29, 2 Os 2.36, 2 Si 2.49
4 Si 0.5000 0.1917 0.1577  2 Si 2.49, 3 Os 2.51-2.66

Output
Total magnetization = 0.00 μB/atom
E_form (uncorrected) = 0.9 eV/f.u.
Relative energy among the computed polymorphs = 0.310 eV/atom
Symmetry = Pm (6)
DFT total energy = -23.03 eV per cell

***

# 4
## Zn2CoIr (PBE)

Data for an optimized crystal structure of Zn2CoIr.

a = 4.5328 Å, b = 4.5328 Å, c = 4.5328 Å
α = 129.91°, β = 129.91°, γ = 73.55°
Closest atoms and distances in Å follow each position.
Positions (direct):
1 Co 0.5000 0.5000 0.0000  8 Zn 2.64-2.71, 4 Ir 2.64
2 Ir 0.7500 0.2500 0.5000  4 Co 2.64, 8 Zn 2.64-2.71
3 Zn 0.0000 0.0000 0.0000  4 Ir 2.64, 4 Zn 2.64, 4 Co 2.71
4 Zn 0.2500 0.7500 0.5000  4 Co 2.64, 4 Zn 2.64, 4 Ir 2.71

Output
Total magnetization = 0.49 μB/atom
Symmetry = I-4m2 (119)
Energy relative to the elements = -29 meV per atom
DFT total energy = -18.63 eV per cell

***

# 5
## La5ErBi6 (PBE)

Data for an optimized crystal structure of La5ErBi6.

a = 8.0816 Å, b = 8.0802 Å, c = 8.0809 Å
α = 60.00°, β = 80.38°, γ = 70.48°
Closest atoms and distances in Å follow each position.
Positions (direct):
1 La 0.5000 0.1693 0.6614  6 Bi 3.30-3.35
2 La 0.0000 0.3343 0.3314  6 Bi 3.30-3.31
3 La 0.5000 0.5000 0.0000  6 Bi 3.30-3.37
4 La 0.0000 0.6657 0.6686  6 Bi 3.30-3.31
5 La 0.5000 0.8307 0.3386  6 Bi 3.30-3.35
6 Er 0.0000 0.0000 0.0000  6 Bi 3.22-3.23
7 Bi 0.7558 0.0811 0.3256  1 Er 3.22, 5 La 3.30-3.35
8 Bi 0.2442 0.5933 0.3256  1 Er 3.22, 5 La 3.30-3.35
9 Bi 0.2470 0.2426 0.0000  1 Er 3.23, 5 La 3.30-3.37
10 Bi 0.7530 0.7574 0.0000  1 Er 3.23, 5 La 3.30-3.37
11 Bi 0.7558 0.4067 0.6744  1 Er 3.22, 5 La 3.30-3.35
12 Bi 0.2442 0.9189 0.6744  1 Er 3.22, 5 La 3.30-3.35

Output
Total magnetization = 0.00 μB/atom
Symmetry = C2/m (12)
Energy relative to the elements = -1008 meV per atom
DFT total energy = -64.59 eV per cell

***

# 6
## TaHgI6 (PBE)

Data for an optimized crystal structure of TaHgI6.

a = 7.7608 Å, b = 7.5747 Å, c = 7.7232 Å
α = 78.76°, β = 67.64°, γ = 59.18°
Closest atoms and distances in Å follow each position.
Positions (direct):
1 Ta 0.5000 0.0000 0.5000  6 I 2.74-2.79
2 Hg 0.0000 0.0000 0.0000  4 I 3.06
3 I 0.2853 0.0000 0.2893  1 Ta 2.74
4 I 0.1212 0.3037 0.7302  1 Ta 2.79, 1 Hg 3.06
5 I 0.7147 0.0000 0.7107  1 Ta 2.74
6 I 0.5751 0.3037 0.2698  1 Ta 2.79, 1 Hg 3.06
7 I 0.8788 0.6963 0.2698  1 Ta 2.79, 1 Hg 3.06
8 I 0.4249 0.6963 0.7302  1 Ta 2.79, 1 Hg 3.06

Output
Total magnetization = 0.00 μB/atom
E_form (uncorrected) = -2.7 eV/f.u.
Relative energy among the computed polymorphs = 0.000 eV/atom
Symmetry = C2/m (12)
DFT total energy = -24.20 eV per cell